A) Density functional theory data (PBE) for an optimized crystal structure of Cu4SnGe.

Unit cell a=4.6271 b=4.7378 c=8.7391 alpha=74.38 beta=74.73 gamma=89.87
Closest atoms and distances in Å follow each position.
Space group P-1 (No. 2)
Symmetry-distinct sites (fractional):
Cu (0.0772, 0.0318, 0.3389) (multiplicity 2)  3 Ge 2.51-2.68, 5 Cu 2.59-2.70, 1 Sn 2.75
Cu (0.1575, 0.5905, 0.1932) (multiplicity 2)  1 Ge 2.50, 4 Cu 2.59-2.70, 1 Sn 2.73
Cu (0.3509, 0.7862, 0.8072) (multiplicity 2)  1 Ge 2.50, 4 Cu 2.59-2.71, 1 Sn 2.74
Cu (0.4158, 0.3725, 0.6609) (multiplicity 2)  3 Ge 2.51-2.68, 5 Cu 2.59-2.71, 1 Sn 2.74
Sn (0.2483, 0.2151, 0.9995) (multiplicity 2)  10 Cu 2.73-2.95
Ge (0.0000, 0.5000, 0.5000) (multiplicity 1)  8 Cu 2.50-2.68
Ge (0.5000, 0.0000, 0.5000) (multiplicity 1)  8 Cu 2.50-2.68

Total moment in μB/atom: 0.000


B) Density functional theory data (PBE) for an optimized crystal structure of Cu4SnGe.

Unit cell a=3.7746 b=18.1592 c=5.2302 alpha=90.00 beta=90.00 gamma=90.00
Closest atoms and distances in Å follow each position.
Space group Cmcm (No. 63)
Symmetry-distinct sites (fractional):
Cu (0.0000, 0.0000, 0.0000) (multiplicity 4)  8 Cu 2.59-2.65, 4 Ge 2.65
Cu (0.0000, 0.1424, 0.9997) (multiplicity 8)  5 Cu 2.59-2.62, 2 Ge 2.62, 3 Sn 2.69-2.77
Cu (0.0000, 0.4272, 0.2500) (multiplicity 4)  3 Ge 2.62-2.64, 8 Cu 2.62-2.65, 1 Sn 2.82
Sn (0.0000, 0.2721, 0.2500) (multiplicity 4)  7 Cu 2.69-2.82
Ge (0.0000, 0.4274, 0.7500) (multiplicity 4)  11 Cu 2.62-2.65

Total moment in μB/atom: 0.000


It is B) that is the most stable of them.


A) Density functional theory data (PBE) for an optimized crystal structure of Cu2SnGe.

Unit cell a=3.1370 b=3.1370 c=6.9856 alpha=90.00 beta=90.00 gamma=90.00
Closest atoms and distances in Å follow each position.
Space group P4/mmm (No. 123)
Symmetry-distinct sites (fractional):
Cu (0.0000, 0.0000, 0.2099) (multiplicity 2)  4 Ge 2.66, 1 Cu 2.93
Sn (0.5000, 0.5000, 0.5000) (multiplicity 1)  8 Cu 3.00, 4 Sn 3.14
Ge (0.5000, 0.5000, 0.0000) (multiplicity 1)  8 Cu 2.66

Total moment in μB/atom: 0.000


B) Density functional theory data (PBE) for an optimized crystal structure of Cu2SnGe.

Unit cell a=3.5730 b=3.5730 c=19.6976 alpha=90.00 beta=90.00 gamma=120.00
Closest atoms and distances in Å follow each position.
Space group R-3m (No. 166, hexagonal axes)
Symmetry-distinct sites (fractional):
Cu (0.0000, 0.0000, 0.2391) (multiplicity 6)  3 Ge 2.51, 3 Sn 2.77
Sn (0.0000, 0.0000, 0.0000) (multiplicity 3)  6 Cu 2.77
Ge (0.0000, 0.0000, 0.5000) (multiplicity 3)  6 Cu 2.51

Total moment in μB/atom: 0.000


It is A) that is the most stable of them.


A) Density functional theory data (PBE) for an optimized crystal structure of Cu2SnGe.

Unit cell a=4.2698 b=4.2698 c=16.3416 alpha=90.00 beta=90.00 gamma=90.00
Closest atoms and distances in Å follow each position.
Space group I-42d (No. 122)
Symmetry-distinct sites (fractional):
Cu (0.1827, 0.2500, 0.1250) (multiplicity 8)  2 Ge 2.43, 2 Cu 2.64, 2 Sn 2.67
Sn (0.0000, 0.0000, 0.5000) (multiplicity 4)  4 Cu 2.67
Ge (0.0000, 0.0000, 0.0000) (multiplicity 4)  4 Cu 2.43

Total moment in μB/atom: 0.000


B) Density functional theory data (PBE) for an optimized crystal structure of Cu2SnGe.

Unit cell a=6.5014 b=6.5014 c=6.5014 alpha=90.00 beta=90.00 gamma=90.00
Closest atoms and distances in Å follow each position.
Space group Fm-3m (No. 225)
Symmetry-distinct sites (fractional):
Cu (0.2500, 0.2500, 0.2500) (multiplicity 8)  4 Ge 2.82, 4 Sn 2.82
Sn (0.0000, 0.0000, 0.0000) (multiplicity 4)  8 Cu 2.82
Ge (0.0000, 0.0000, 0.5000) (multiplicity 4)  8 Cu 2.82

Total moment in μB/atom: 0.000


It is A) that is the most stable of them.


A) Density functional theory data (PBE) for an optimized crystal structure of CuSnGe.

Unit cell a=12.9274 b=2.9644 c=6.6640 alpha=90.00 beta=107.06 gamma=90.00
Closest atoms and distances in Å follow each position.
Space group C2/m (No. 12)
Symmetry-distinct sites (fractional):
Cu (0.0990, 0.0000, 0.0087) (multiplicity 4)  2 Ge 2.49-2.50, 1 Cu 2.53, 1 Sn 2.71
Sn (0.2249, 0.0000, 0.7477) (multiplicity 4)  3 Cu 2.71-2.80, 2 Sn 2.96
Ge (0.0425, 0.0000, 0.3369) (multiplicity 4)  2 Cu 2.49-2.50, 1 Ge 2.71

Total moment in μB/atom: 0.000


B) Density functional theory data (PBE) for an optimized crystal structure of CuSnGe.

Unit cell a=4.2105 b=4.2105 c=3.9665 alpha=90.00 beta=90.00 gamma=120.00
Closest atoms and distances in Å follow each position.
Space group P3m1 (No. 156)
Symmetry-distinct sites (fractional):
Cu (0.0000, 0.0000, 0.0000) (multiplicity 1)  3 Ge 2.44
Sn (0.6667, 0.3333, 0.4375) (multiplicity 1)  6 Cu 2.99-3.30, 6 Ge 3.13-3.15
Ge (0.3333, 0.6667, 0.9416) (multiplicity 1)  3 Cu 2.44

Total moment in μB/atom: 0.000


C) Density functional theory data (PBE) for an optimized crystal structure of CuSnGe.

Unit cell a=6.2389 b=6.2389 c=6.2389 alpha=90.00 beta=90.00 gamma=90.00
Closest atoms and distances in Å follow each position.
Space group F-43m (No. 216)
Symmetry-distinct sites (fractional):
Cu (0.0000, 0.0000, 0.0000) (multiplicity 4)  4 Sn 2.70, 4 Ge 2.70
Sn (0.2500, 0.2500, 0.7500) (multiplicity 4)  4 Cu 2.70
Ge (0.2500, 0.2500, 0.2500) (multiplicity 4)  4 Cu 2.70

Total moment in μB/atom: 0.000


It is C) that is the most stable of them.